FeSb2TeAs (PBE, optimized geometry); E_form (uncorrected) = 1.108 eV per atom
1.0
5.292 0.000 0.000
0.000 5.292 0.000
0.000 0.000 5.457
Fe Sb Te As
1 2 1 1
Cartesian
0.000 0.000 0.000
0.000 2.646 2.729
2.646 0.000 2.729
2.646 2.646 0.000
2.646 2.646 2.729

ScFe2As (PBE, optimized geometry); energy of formation = -0.27 eV/atom
1.0
3.817 0.000 0.000
0.000 3.817 0.000
0.000 0.000 4.026
Sc Fe As
1 2 1
Cartesian
0.000 0.000 0.000
0.000 1.908 2.013
1.908 0.000 2.013
1.908 1.908 0.000

What did the second record say?
ScFe2As (PBE, optimized geometry); energy of formation = -0.27 eV/atom
1.0
3.817 0.000 0.000
0.000 3.817 0.000
0.000 0.000 4.026
Sc Fe As
1 2 1
Cartesian
0.000 0.000 0.000
0.000 1.908 2.013
1.908 0.000 2.013
1.908 1.908 0.000